# 1
A relaxed structure of SmZn3Pt. Source: the Alexandria database, functional GGA-PBE.

Output
* relative energy among the computed polymorphs: 0.01 eV/f.u.
* ΔE_f: -566 meV per atom
* symmetry: Cmcm
* crystal system: orthorhombic

Structure (CIF):
```
data_SmZn3Pt
_chemical_formula_sum 'Sm2 Zn6 Pt2'
_cell_length_a 5.670
_cell_length_b 6.527
_cell_length_c 5.684
_cell_angle_alpha 115.81
_cell_angle_beta 90.00
_cell_angle_gamma 90.00
_symmetry_space_group_name_H-M 'P 1'
_symmetry_Int_Tables_number 1
loop_
_symmetry_equiv_pos_as_xyz
'x,y,z'
loop_
_atom_site_label
_atom_site_type_symbol
_atom_site_fract_x
_atom_site_fract_y
_atom_site_fract_z
Zn1 Zn 0.750 0.733 0.866
Sm1 Sm 0.750 0.498 0.249
Zn2 Zn 0.500 0.000 0.742
Sm2 Sm 0.250 0.502 0.751
Zn3 Zn 0.000 0.000 0.258
Zn4 Zn 0.500 0.000 0.258
Zn5 Zn 0.000 0.000 0.742
Pt1 Pt 0.750 0.300 0.650
Pt2 Pt 0.250 0.700 0.350
Zn6 Zn 0.250 0.267 0.134
```



# 2
A relaxed structure of SrPm2TeO8. Source: the Alexandria database, functional GGA-PBE.

Output
* symmetry: P-1
* crystal system: triclinic
* energy relative to the elements, uncorrected: -2.13 eV/atom

Structure (CIF):
```
data_SrPm2TeO8
_chemical_formula_sum 'Sr1 Pm2 Te1 O8'
_cell_length_a 4.450
_cell_length_b 5.236
_cell_length_c 7.536
_cell_angle_alpha 89.94
_cell_angle_beta 89.94
_cell_angle_gamma 93.48
_symmetry_space_group_name_H-M 'P 1'
_symmetry_Int_Tables_number 1
loop_
_symmetry_equiv_pos_as_xyz
'x,y,z'
loop_
_atom_site_label
_atom_site_type_symbol
_atom_site_fract_x
_atom_site_fract_y
_atom_site_fract_z
O1 O 0.071 0.757 0.192
Pm1 Pm 0.501 0.501 0.244
Te1 Te 0.000 0.000 0.000
O2 O 0.603 0.816 0.999
O3 O 0.072 0.759 0.808
O4 O 0.511 0.740 0.500
Sr1 Sr 0.000 0.000 0.500
O5 O 0.397 0.184 0.001
O6 O 0.489 0.260 0.500
Pm2 Pm 0.499 0.499 0.756
O7 O 0.928 0.241 0.192
O8 O 0.929 0.243 0.808
```



# 3
A relaxed structure of TaTl2O. Source: the Alexandria database, functional GGA-PBE.

Output
* relative energy among the computed polymorphs: 1.57 eV/f.u.
* symmetry: Fm-3m
* crystal system: cubic
* energy relative to the elements, uncorrected: 0.92 eV/atom

Structure (CIF):
```
data_TaTl2O
_chemical_formula_sum 'Ta1 Tl2 O1'
_cell_length_a 4.845
_cell_length_b 4.845
_cell_length_c 4.845
_cell_angle_alpha 60.00
_cell_angle_beta 60.00
_cell_angle_gamma 60.00
_symmetry_space_group_name_H-M 'P 1'
_symmetry_Int_Tables_number 1
loop_
_symmetry_equiv_pos_as_xyz
'x,y,z'
loop_
_atom_site_label
_atom_site_type_symbol
_atom_site_fract_x
_atom_site_fract_y
_atom_site_fract_z
O1 O 0.000 0.000 0.000
Tl1 Tl 0.750 0.750 0.750
Tl2 Tl 0.250 0.250 0.250
Ta1 Ta 0.500 0.500 0.500
```



# 4
A relaxed structure of Er2TeW. Source: the Alexandria database, functional GGA-PBE.

Output
* symmetry: R-3m
* crystal system: trigonal
* energy relative to the elements, uncorrected: 0.59 eV/atom

Structure (CIF):
```
data_Er2TeW
_chemical_formula_sum 'Er2 Te1 W1'
_cell_length_a 3.233
_cell_length_b 3.233
_cell_length_c 10.999
_cell_angle_alpha 81.55
_cell_angle_beta 81.55
_cell_angle_gamma 60.00
_symmetry_space_group_name_H-M 'P 1'
_symmetry_Int_Tables_number 1
loop_
_symmetry_equiv_pos_as_xyz
'x,y,z'
loop_
_atom_site_label
_atom_site_type_symbol
_atom_site_fract_x
_atom_site_fract_y
_atom_site_fract_z
Er1 Er 0.913 0.913 0.260
W1 W 0.000 0.000 0.000
Te1 Te 0.500 0.500 0.500
Er2 Er 0.087 0.087 0.740
```



# 5
A relaxed structure of Ce5PuTl6. Source: the Alexandria database, functional GGA-PBE.

Output
* ΔE_f: -216 meV per atom
* symmetry: Immm
* crystal system: orthorhombic

Structure (CIF):
```
data_Ce5PuTl6
_chemical_formula_sum 'Ce5 Pu1 Tl6'
_cell_length_a 4.871
_cell_length_b 9.049
_cell_length_c 9.049
_cell_angle_alpha 107.88
_cell_angle_beta 105.61
_cell_angle_gamma 105.61
_symmetry_space_group_name_H-M 'P 1'
_symmetry_Int_Tables_number 1
loop_
_symmetry_equiv_pos_as_xyz
'x,y,z'
loop_
_atom_site_label
_atom_site_type_symbol
_atom_site_fract_x
_atom_site_fract_y
_atom_site_fract_z
Ce1 Ce 0.500 0.500 0.500
Ce2 Ce 0.500 0.842 0.158
Tl1 Tl 0.753 0.253 0.253
Tl2 Tl 0.748 0.916 0.581
Ce3 Ce 0.500 0.158 0.842
Ce4 Ce 0.000 0.667 0.333
Tl3 Tl 0.252 0.084 0.419
Tl4 Tl 0.247 0.747 0.747
Ce5 Ce 0.000 0.333 0.667
Tl5 Tl 0.252 0.419 0.084
Tl6 Tl 0.748 0.581 0.916
Pu1 Pu 0.000 0.000 0.000
```



# 6
A relaxed structure of YIr4Cl. Source: the Alexandria database, functional GGA-PBE.

Output
* symmetry: F-43m
* crystal system: cubic
* energy relative to the elements, uncorrected: 0.10 eV/atom

Structure (CIF):
```
data_YIr4Cl
_chemical_formula_sum 'Y1 Ir4 Cl1'
_cell_length_a 5.339
_cell_length_b 5.339
_cell_length_c 5.339
_cell_angle_alpha 60.00
_cell_angle_beta 60.00
_cell_angle_gamma 60.00
_symmetry_space_group_name_H-M 'P 1'
_symmetry_Int_Tables_number 1
loop_
_symmetry_equiv_pos_as_xyz
'x,y,z'
loop_
_atom_site_label
_atom_site_type_symbol
_atom_site_fract_x
_atom_site_fract_y
_atom_site_fract_z
Cl1 Cl 0.000 0.000 0.000
Ir1 Ir 0.874 0.375 0.375
Ir2 Ir 0.375 0.375 0.874
Ir3 Ir 0.375 0.874 0.375
Y1 Y 0.750 0.750 0.750
Ir4 Ir 0.375 0.375 0.375
```



# 7
A relaxed structure of ErInTeS. Source: the Alexandria database, functional GGA-PBE.

Output
* symmetry: R3m
* crystal system: trigonal
* energy relative to the elements, uncorrected: -1.16 eV/atom

Structure (CIF):
```
data_ErInTeS
_chemical_formula_sum 'Er1 In1 Te1 S1'
_cell_length_a 4.179
_cell_length_b 4.179
_cell_length_c 8.360
_cell_angle_alpha 90.00
_cell_angle_beta 104.48
_cell_angle_gamma 120.01
_symmetry_space_group_name_H-M 'P 1'
_symmetry_Int_Tables_number 1
loop_
_symmetry_equiv_pos_as_xyz
'x,y,z'
loop_
_atom_site_label
_atom_site_type_symbol
_atom_site_fract_x
_atom_site_fract_y
_atom_site_fract_z
In1 In 0.960 0.378 0.353
S1 S 0.518 0.157 0.690
Er1 Er 0.284 0.540 0.839
Te1 Te 0.117 0.956 0.088
```



# 8
A relaxed structure of TcSe. Source: the Alexandria database, functional GGA-PBE.

Output
* relative energy among the computed polymorphs: 0.39 eV/f.u.
* symmetry: Cm
* crystal system: monoclinic
* energy relative to the elements, uncorrected: -0.01 eV/atom

Structure (CIF):
```
data_TcSe
_chemical_formula_sum 'Tc3 Se3'
_cell_length_a 6.949
_cell_length_b 6.949
_cell_length_c 5.919
_cell_angle_alpha 69.53
_cell_angle_beta 69.53
_cell_angle_gamma 25.24
_symmetry_space_group_name_H-M 'P 1'
_symmetry_Int_Tables_number 1
loop_
_symmetry_equiv_pos_as_xyz
'x,y,z'
loop_
_atom_site_label
_atom_site_type_symbol
_atom_site_fract_x
_atom_site_fract_y
_atom_site_fract_z
Tc1 Tc 0.930 0.930 0.630
Tc2 Tc 0.322 0.322 0.997
Se1 Se 0.574 0.574 0.682
Tc3 Tc 0.982 0.982 0.032
Se2 Se 0.359 0.359 0.389
Se3 Se 0.665 0.665 0.104
```



# 9
A relaxed structure of UBr2Cl8. Source: the Alexandria database, functional GGA-PBE.

Output
* relative energy among the computed polymorphs: 0.00 eV/f.u.
* symmetry: C2/m
* crystal system: monoclinic
* energy relative to the elements, uncorrected: -0.93 eV/atom

Structure (CIF):
```
data_UBr2Cl8
_chemical_formula_sum 'U1 Br2 Cl8'
_cell_length_a 7.993
_cell_length_b 7.540
_cell_length_c 8.914
_cell_angle_alpha 75.85
_cell_angle_beta 63.36
_cell_angle_gamma 90.00
_symmetry_space_group_name_H-M 'P 1'
_symmetry_Int_Tables_number 1
loop_
_symmetry_equiv_pos_as_xyz
'x,y,z'
loop_
_atom_site_label
_atom_site_type_symbol
_atom_site_fract_x
_atom_site_fract_y
_atom_site_fract_z
Br1 Br 0.271 0.448 0.459
Cl1 Cl 0.117 0.050 0.201
Cl2 Cl 0.587 0.456 0.825
Br2 Br 0.729 0.552 0.541
Cl3 Cl 0.883 0.950 0.799
U1 U 0.000 0.000 0.000
Cl4 Cl 0.318 0.950 0.799
Cl5 Cl 0.924 0.662 0.152
Cl6 Cl 0.413 0.544 0.175
Cl7 Cl 0.682 0.050 0.201
Cl8 Cl 0.076 0.338 0.848
```



# 10
A relaxed structure of NdCu6Ni2. Source: the Alexandria database, functional GGA-PBE.

Output
* ΔE_f: 279 meV per atom
* symmetry: P6/mmm
* crystal system: hexagonal

Structure (CIF):
```
data_NdCu6Ni2
_chemical_formula_sum 'Nd1 Cu6 Ni2'
_cell_length_a 4.889
_cell_length_b 4.889
_cell_length_c 7.298
_cell_angle_alpha 90.00
_cell_angle_beta 90.00
_cell_angle_gamma 120.00
_symmetry_space_group_name_H-M 'P 1'
_symmetry_Int_Tables_number 1
loop_
_symmetry_equiv_pos_as_xyz
'x,y,z'
loop_
_atom_site_label
_atom_site_type_symbol
_atom_site_fract_x
_atom_site_fract_y
_atom_site_fract_z
Cu1 Cu 0.500 0.500 0.231
Cu2 Cu 0.500 0.500 0.769
Ni1 Ni 0.667 0.333 0.500
Ni2 Ni 0.333 0.667 0.500
Cu3 Cu 0.000 0.500 0.231
Cu4 Cu 0.500 0.000 0.231
Cu5 Cu 0.500 0.000 0.769
Nd1 Nd 0.000 0.000 0.000
Cu6 Cu 0.000 0.500 0.769
```



# 11
A relaxed structure of KBa2H6Ir. Source: the Alexandria database, functional GGA-PBE.

Output
* symmetry: P-3m1
* crystal system: trigonal
* VASP energy: -38.503 eV for the cell shown

Structure (CIF):
```
data_KBa2H6Ir
_chemical_formula_sum 'K1 Ba2 H6 Ir1'
_cell_length_a 7.902
_cell_length_b 5.461
_cell_length_c 5.461
_cell_angle_alpha 120.00
_cell_angle_beta 90.00
_cell_angle_gamma 90.00
_symmetry_space_group_name_H-M 'P 1'
_symmetry_Int_Tables_number 1
loop_
_symmetry_equiv_pos_as_xyz
'x,y,z'
loop_
_atom_site_label
_atom_site_type_symbol
_atom_site_fract_x
_atom_site_fract_y
_atom_site_fract_z
Ir1 Ir 0.000 0.000 0.000
Ba1 Ba 0.175 0.333 0.667
H1 H 0.876 0.147 0.294
H2 H 0.876 0.147 0.853
H3 H 0.124 0.294 0.147
H4 H 0.876 0.706 0.853
H5 H 0.124 0.853 0.147
Ba2 Ba 0.825 0.667 0.333
H6 H 0.124 0.853 0.706
K1 K 0.500 0.000 0.000
```



# 12
A relaxed structure of Sc5AlTl4. Source: the Alexandria database, functional GGA-PBE.

Output
* ΔE_f: -284 meV per atom
* symmetry: P4/mmm
* crystal system: tetragonal

Structure (CIF):
```
data_Sc5AlTl4
_chemical_formula_sum 'Sc5 Al1 Tl4'
_cell_length_a 3.493
_cell_length_b 3.493
_cell_length_c 18.568
_cell_angle_alpha 90.00
_cell_angle_beta 90.00
_cell_angle_gamma 90.00
_symmetry_space_group_name_H-M 'P 1'
_symmetry_Int_Tables_number 1
loop_
_symmetry_equiv_pos_as_xyz
'x,y,z'
loop_
_atom_site_label
_atom_site_type_symbol
_atom_site_fract_x
_atom_site_fract_y
_atom_site_fract_z
Tl1 Tl 0.000 0.000 0.191
Sc1 Sc 0.500 0.500 0.500
Tl2 Tl 0.000 0.000 0.396
Tl3 Tl 0.000 0.000 0.604
Al1 Al 0.000 0.000 0.000
Sc2 Sc 0.500 0.500 0.707
Sc3 Sc 0.500 0.500 0.293
Sc4 Sc 0.500 0.500 0.912
Tl4 Tl 0.000 0.000 0.809
Sc5 Sc 0.500 0.500 0.088
```